An optimized crystal structure of Tb3NdTm2As6, computed with GGA-PBE.

Results
ρ: 7782 kg/m³
space group: No. 12
formation energy: -1.52 eV per atom

a = 7.166 Å, b = 7.166 Å, c = 7.168 Å
α = 99.59°, β = 99.59°, γ = 119.99°
Element x y z (fractional)
Tb: 0.000 0.000 0.000
Tb: 0.335 0.665 0.000
Tb: 0.665 0.335 0.000
Nd: 0.500 0.500 0.500
Tm: 0.167 0.833 0.500
Tm: 0.833 0.167 0.500
As: 0.076 0.417 0.250
As: 0.242 0.242 0.749
As: 0.417 0.076 0.250
As: 0.583 0.924 0.750
As: 0.758 0.758 0.251
As: 0.924 0.583 0.750

An optimized crystal structure of FeAsSe2, computed with GGA-PBE.

Results
uncorrected energy: -19.27 eV/cell
ρ: 6256 kg/m³
space group: No. 139

a = 4.635 Å, b = 4.635 Å, c = 4.635 Å
α = 108.76°, β = 108.76°, γ = 110.90°
Element x y z (fractional)
Fe: 0.000 0.000 0.000
As: 0.500 0.500 0.000
Se: 0.000 0.500 0.500
Se: 0.500 0.000 0.500